A geometry-optimized CaPNF2 structure, computed with PBE.

Final energy   -5.161 eV/atom
Formation energy (no corrections)   -6.327 eV per formula unit
Energy relative to the lowest polymorph listed for this composition   0 meV/atom
Mass density   3.0 Mg/m³

Cell: 4.410 4.410 3.540 Å, 90.00 90.00 90.00°
Space group P4/mmm (No. 123)
Unique sites:
Ca 0.000 0.000 0.000 (multiplicity 1)
P 0.500 0.500 0.500 (multiplicity 1)
N 0.500 0.500 0.000 (multiplicity 1)
F 0.000 0.500 0.500 (multiplicity 2)


A geometry-optimized SrNdNi2H8 structure, computed with PBE.

Final energy   -3.983 eV/atom
Mass density   4.8 Mg/m³

Cell: 4.7048 4.7048 19.2227 Å, 90.00 90.00 120.00°
Space group R-3m (No. 166, hexagonal axes)
Unique sites:
Sr 0.0000 0.0000 0.0000 (multiplicity 3)
Nd 0.0000 0.0000 0.5000 (multiplicity 3)
Ni 0.0000 0.0000 0.2297 (multiplicity 6)
H 0.0000 0.0000 0.1470 (multiplicity 6)
H 0.0092 0.5046 0.0648 (multiplicity 18)


A geometry-optimized SnTe2H2 structure, computed with PBE.

Final energy   -3.232 eV/atom
Energy relative to the lowest polymorph listed for this composition   8 meV/atom
Mass density   5.2 Mg/m³

Cell: 6.170 6.607 6.875 Å, 68.48 66.39 77.09°
Space group P-1 (No. 2)
Unique sites:
Sn 0.183 0.209 0.383 (multiplicity 2)
Te 0.082 0.699 0.175 (multiplicity 2)
Te 0.404 0.341 0.817 (multiplicity 2)
H 0.098 0.844 0.616 (multiplicity 2)
H 0.499 0.894 0.256 (multiplicity 2)


A geometry-optimized Rb2GaI3 structure, computed with PBE.

Final energy   -2.657 eV/atom
Formation energy (no corrections)   -6.331 eV per formula unit
Energy relative to the lowest polymorph listed for this composition   41 meV/atom
Mass density   3.3 Mg/m³

Cell: 14.823 9.009 9.232 Å, 90.00 90.00 90.00°
Space group Cmcm (No. 63)
Unique sites:
Rb 0.175 0.177 0.250 (multiplicity 8)
Ga 0.000 0.436 0.750 (multiplicity 4)
I 0.000 0.109 0.750 (multiplicity 4)
I 0.164 0.500 0.000 (multiplicity 8)